a | DFT (PBE) results for a relaxed CdCu2O2 crystal.

a b c (Å): 5.923 5.923 5.923
angles (deg): 147.13 147.13 47.18
Fractional positions:
Cd 0.000 0.000 0.000
Cu 0.250 0.750 0.500
Cu 0.750 0.250 0.500
O 0.378 0.378 0.000
O 0.622 0.622 0.000

Output
The density of states at the Fermi level comes out at 20.7 states/eV per cell.



b | DFT (PBE) results for a relaxed CdCu2O2 crystal.

a b c (Å): 5.588 5.588 5.848
angles (deg): 117.80 117.80 88.20
Fractional positions:
Cd 0.117 0.883 0.750
Cd 0.883 0.117 0.250
Cu 0.000 0.500 0.000
Cu 0.500 0.000 0.500
Cu 0.500 0.500 0.000
Cu 0.500 0.500 0.500
O 0.128 0.310 0.740
O 0.310 0.128 0.240
O 0.690 0.872 0.760
O 0.872 0.690 0.260

Output
The density of states at the Fermi level comes out at 2.3 states/eV per cell.



c | DFT (PBE) results for a relaxed CdCu2O2 crystal.

a b c (Å): 8.294 8.294 8.294
angles (deg): 160.24 160.24 28.09
Fractional positions:
Cd 0.000 0.000 0.000
Cu 0.330 0.330 0.000
Cu 0.670 0.670 0.000
O 0.160 0.160 0.000
O 0.840 0.840 0.000

Output
The density of states at the Fermi level comes out at 2.5 states/eV per cell.



Name the most stable of them. b.



a | DFT (PBE) results for a relaxed CdCu3O crystal.

a b c (Å): 4.101 4.101 4.101
angles (deg): 90.00 90.00 90.00
Fractional positions:
Cd 0.000 0.000 0.000
Cu 0.000 0.500 0.500
Cu 0.500 0.000 0.500
Cu 0.500 0.500 0.000
O 0.500 0.500 0.500

Output
The density of states at the Fermi level comes out at 2.5 states/eV per cell.



b | DFT (PBE) results for a relaxed CdCu3O crystal.

a b c (Å): 4.752 4.752 4.752
angles (deg): 90.00 90.00 90.00
Fractional positions:
Cd 0.000 0.000 0.000
Cu 0.000 0.000 0.500
Cu 0.000 0.500 0.000
Cu 0.500 0.000 0.000
O 0.500 0.500 0.500

Output
The density of states at the Fermi level comes out at 3.3 states/eV per cell.



Name the most stable of them. a.



a | DFT (PBE) results for a relaxed CdCu2O3 crystal.

a b c (Å): 5.856 5.856 4.925
angles (deg): 90.00 90.00 116.62
Fractional positions:
Cd 0.215 0.785 0.750
Cd 0.785 0.215 0.250
Cu 0.266 0.266 0.000
Cu 0.266 0.266 0.500
Cu 0.734 0.734 0.000
Cu 0.734 0.734 0.500
O 0.088 0.367 0.750
O 0.367 0.088 0.250
O 0.414 0.586 0.250
O 0.586 0.414 0.750
O 0.633 0.912 0.750
O 0.912 0.633 0.250

Output
The density of states at the Fermi level comes out at 9.1 states/eV per cell.



b | DFT (PBE) results for a relaxed CdCu2O3 crystal.

a b c (Å): 4.046 9.933 3.712
angles (deg): 90.00 90.00 90.00
Fractional positions:
Cd 0.250 0.250 0.153
Cd 0.750 0.750 0.847
Cu 0.250 0.587 0.363
Cu 0.250 0.913 0.363
Cu 0.750 0.087 0.637
Cu 0.750 0.413 0.637
O 0.250 0.083 0.603
O 0.250 0.417 0.603
O 0.250 0.750 0.096
O 0.750 0.250 0.904
O 0.750 0.583 0.397
O 0.750 0.917 0.397

Output
The density of states at the Fermi level comes out at 0.7 states/eV per cell.



Name the most stable of them. b.